Record 1
A plane-wave DFT calculation with PBE was carried out for Na2Hg2Pb after structural relaxation.

**M_tot**: 0.0 μB/f.u.
**ΔE_f**: -194.7 meV/atom
**Excess energy over the best structure of this formula in the dataset**: 0 meV/atom
**Space-group type**: C2/m

```
5
Lattice="4.831 0.000 2.111 2.094 4.542 1.792 0.180 0.459 6.170" Properties=species:S:1:pos:R:3 pbc="T T T"
Hg 6.427 4.465 8.332
Hg 0.678 0.537 1.740
Na 5.001 3.412 5.012
Na 2.103 1.590 5.061
Pb 3.462 2.271 1.951
```


Record 2
A plane-wave DFT calculation with PBE was carried out for Na3Hg3Pb after structural relaxation.

**M_tot**: 0.0 μB/f.u.
**ΔE_f**: -175.8 meV/atom
**Excess energy over the best structure of this formula in the dataset**: 0 meV/atom
**Space-group type**: P6_3/m

```
14
Lattice="5.462 0.000 0.000 0.000 8.873 0.000 0.000 -4.437 7.684" Properties=species:S:1:pos:R:3 pbc="T T T"
Hg 1.365 3.855 5.809
Hg 4.096 -3.103 6.243
Hg 4.096 2.521 7.250
Hg 1.365 7.539 1.441
Hg 1.365 1.915 0.434
Hg 4.096 0.581 1.876
Pb 1.365 4.437 2.561
Pb 4.096 0.000 5.123
Na 4.096 3.251 4.167
Na 4.096 6.420 2.785
Na 1.365 -1.983 4.899
Na 1.365 1.185 3.518
Na 4.096 3.639 0.732
Na 1.365 0.798 6.952
```


Q: Number 1 is which compound?
A: Na2Hg2Pb


Q: ΔE_f of number 2 (Na3Hg3Pb)?
A: -175.8 meV/atom